(1)
A plane-wave DFT calculation with GGA-PBE was carried out for crystalline CrNi7 at its relaxed geometry. Values from VASP.

```
&SYSTEM
  ibrav = 0, nat = 8, ntyp = 2
/
ATOMIC_SPECIES
Cr 52.00 Cr.upf
Ni 58.69 Ni.upf
CELL_PARAMETERS angstrom
0.000 3.534 3.534
3.534 0.000 3.534
3.534 3.534 0.000
ATOMIC_POSITIONS crystal
Cr 0.000 0.000 0.000
Ni 0.000 0.000 0.500
Ni 0.000 0.500 0.000
Ni 0.000 0.500 0.500
Ni 0.500 0.000 0.000
Ni 0.500 0.000 0.500
Ni 0.500 0.500 0.000
Ni 0.500 0.500 0.500
```

Values from the calculation:
The calculation puts the formation energy from the elements at 22 meV per atom. The total DFT energy (no corrections) is -6.240 eV/atom. The density of states at the Fermi level is 13.13 states/eV/cell.

***

(2)
A plane-wave DFT calculation with GGA-PBE was carried out for crystalline Cr3Ni at its relaxed geometry. Values from VASP.

```
&SYSTEM
  ibrav = 0, nat = 4, ntyp = 2
/
ATOMIC_SPECIES
Cr 52.00 Cr.upf
Ni 58.69 Ni.upf
CELL_PARAMETERS angstrom
1.245 0.719 8.606
-1.245 0.719 8.606
0.000 -1.438 8.606
ATOMIC_POSITIONS crystal
Cr 0.000 0.000 0.000
Cr 0.248 0.248 0.248
Cr 0.752 0.752 0.752
Ni 0.500 0.500 0.500
```

Values from the calculation:
The calculation puts the formation energy from the elements at 244 meV per atom. The total DFT energy (no corrections) is -8.419 eV/atom. The density of states at the Fermi level is 6.81 states/eV/cell.

***

(3)
A plane-wave DFT calculation with GGA-PBE was carried out for crystalline Cr2Ni3 at its relaxed geometry. Values from VASP.

```
&SYSTEM
  ibrav = 0, nat = 5, ntyp = 2
/
ATOMIC_SPECIES
Cr 52.00 Cr.upf
Ni 58.69 Ni.upf
CELL_PARAMETERS angstrom
3.934 0.000 0.000
-1.967 3.407 0.000
0.000 0.000 4.871
ATOMIC_POSITIONS crystal
Cr 0.333 0.667 0.337
Cr 0.667 0.333 0.663
Ni 0.000 0.000 0.500
Ni 0.333 0.667 0.849
Ni 0.667 0.333 0.151
```

Values from the calculation:
The calculation puts the formation energy from the elements at 489 meV per atom. The total DFT energy (no corrections) is -6.829 eV/atom. The density of states at the Fermi level is 6.28 states/eV/cell.

***

(4)
A plane-wave DFT calculation with GGA-PBE was carried out for crystalline Cr3Ni at its relaxed geometry. Values from VASP.

```
&SYSTEM
  ibrav = 0, nat = 4, ntyp = 2
/
ATOMIC_SPECIES
Cr 52.00 Cr.upf
Ni 58.69 Ni.upf
CELL_PARAMETERS angstrom
2.386 0.000 0.000
0.000 4.014 0.000
-0.845 0.000 4.757
ATOMIC_POSITIONS crystal
Cr 0.000 0.000 0.000
Cr 0.206 0.500 0.748
Cr 0.794 0.500 0.252
Ni 0.500 0.000 0.500
```

Values from the calculation:
The calculation puts the formation energy from the elements at 104 meV per atom. The total DFT energy (no corrections) is -8.559 eV/atom. The density of states at the Fermi level is 4.65 states/eV/cell.

***

(5)
A plane-wave DFT calculation with GGA-PBE was carried out for crystalline Cr3Ni at its relaxed geometry. Values from VASP.

```
&SYSTEM
  ibrav = 0, nat = 4, ntyp = 2
/
ATOMIC_SPECIES
Cr 52.00 Cr.upf
Ni 58.69 Ni.upf
CELL_PARAMETERS angstrom
2.494 0.000 0.000
-1.247 2.160 0.000
0.000 0.000 8.569
ATOMIC_POSITIONS crystal
Cr 0.000 0.000 0.000
Cr 0.667 0.333 0.258
Cr 0.667 0.333 0.742
Ni 0.000 0.000 0.500
```

Values from the calculation:
The calculation puts the formation energy from the elements at 232 meV per atom. The total DFT energy (no corrections) is -8.431 eV/atom. The density of states at the Fermi level is 5.75 states/eV/cell.

***

(6)
A plane-wave DFT calculation with GGA-PBE was carried out for crystalline Cr4Ni5 at its relaxed geometry. Values from VASP.

```
&SYSTEM
  ibrav = 0, nat = 18, ntyp = 2
/
ATOMIC_SPECIES
Cr 52.00 Cr.upf
Ni 58.69 Ni.upf
CELL_PARAMETERS angstrom
6.967 0.000 0.000
-3.483 6.033 0.000
0.000 0.000 4.946
ATOMIC_POSITIONS crystal
Cr 0.000 0.000 0.000
Cr 0.000 0.000 0.500
Cr 0.000 0.321 0.250
Cr 0.000 0.679 0.750
Cr 0.321 0.000 0.250
Cr 0.321 0.321 0.750
Cr 0.679 0.000 0.750
Cr 0.679 0.679 0.250
Ni 0.000 0.342 0.750
Ni 0.000 0.658 0.250
Ni 0.333 0.667 0.000
Ni 0.333 0.667 0.500
Ni 0.342 0.000 0.750
Ni 0.342 0.342 0.250
Ni 0.658 0.000 0.250
Ni 0.658 0.658 0.750
Ni 0.667 0.333 0.000
Ni 0.667 0.333 0.500
```

Values from the calculation:
The calculation puts the formation energy from the elements at 149 meV per atom. The total DFT energy (no corrections) is -7.340 eV/atom. The density of states at the Fermi level is 25.57 states/eV/cell.